No. 1
VASP calculation (GGA-PBE) on Cs2ErBS4 after structural relaxation.

Properties
DOS at the Fermi energy, states/eV/f.u.: 0.00
Final energy, eV per atom: -4.85
Energy relative to the elements, uncorrected, kJ/mol of formula units: -905

Lattice parameters (Å, degrees): 5.8205 7.8596 13.1340 85.29 77.20 68.27
Fractional coordinates of all 16 atoms:
Cs1 0.1768 0.0000 0.6463
Cs2 0.8232 0.0000 0.3537
Cs3 0.5732 0.5000 0.8537
Cs4 0.9268 0.5000 0.1463
Er1 0.7500 0.5000 0.5000
Er2 0.0000 0.0000 0.0000
B1 0.2500 0.5000 0.5000
B2 0.5000 0.0000 0.0000
S1 0.3558 0.8347 0.0933
S2 0.2837 0.1653 0.9067
S3 0.8096 0.8347 0.9067
S4 0.5510 0.1653 0.0933
S5 0.3942 0.6653 0.4067
S6 0.4663 0.3347 0.5933
S7 0.9404 0.6653 0.5933
S8 0.1990 0.3347 0.4067

No. 2
VASP calculation (GGA-PBE) on CsErBS4 after structural relaxation.

Properties
DOS at the Fermi energy, states/eV/f.u.: 1.63
Final energy, eV per atom: -5.24
Energy relative to the elements, uncorrected, kJ/mol of formula units: -782

Lattice parameters (Å, degrees): 6.5771 5.5256 9.7046 90.00 102.14 90.00
Fractional coordinates of all 14 atoms:
Cs1 0.7478 0.7500 0.9656
Cs2 0.2522 0.2500 0.0344
Er1 0.7515 0.7500 0.4519
Er2 0.2485 0.2500 0.5481
B1 0.2558 0.7500 0.3439
B2 0.7442 0.2500 0.6561
S1 0.9721 0.4944 0.6928
S2 0.0279 0.9944 0.3072
S3 0.0279 0.5056 0.3072
S4 0.9721 0.0056 0.6928
S5 0.4400 0.7500 0.2201
S6 0.5600 0.2500 0.7799
S7 0.3804 0.7500 0.5409
S8 0.6196 0.2500 0.4591